--- A ---
A relaxed structure of K2PmF5, computed with PBE.

Computed properties:
Fermi-level density of states = 0.0 states/eV/cell

a b c (Å): 10.251 9.115 6.600
angles (deg): 90.00 122.45 90.00
Space group Cm (No. 8)
Symmetry-distinct sites (fractional):
K: 0.000 0.225 0.000
Pm: 0.336 0.500 0.304
F: 0.046 0.000 0.285
F: 0.080 0.500 0.137
F: 0.289 0.287 0.122
F: 0.418 0.500 0.689

---

--- B ---
A relaxed structure of K2PmF5, computed with PBE.

Computed properties:
Fermi-level density of states = 0.0 states/eV/cell

a b c (Å): 11.007 7.540 6.742
angles (deg): 90.00 90.00 90.00
Space group Pnma (No. 62)
Symmetry-distinct sites (fractional):
K: 0.172 0.003 0.029
Pm: 0.005 0.250 0.562
F: 0.011 0.250 0.901
F: 0.080 0.534 0.647
F: 0.170 0.250 0.363
F: 0.196 0.750 0.331

---

What are the relative energies? In meV/atom: A 158; B 0.

---

--- A ---
A relaxed structure of KPmF2, computed with PBE.

Computed properties:
Fermi-level density of states = 1.8 states/eV/cell

a b c (Å): 3.170 3.170 7.250
angles (deg): 90.00 90.00 90.00
Space group P4/mmm (No. 123)
Symmetry-distinct sites (fractional):
K: 0.000 0.000 0.000
Pm: 0.000 0.000 0.500
F: 0.500 0.500 0.227

---

--- B ---
A relaxed structure of KPmF2, computed with PBE.

Computed properties:
Fermi-level density of states = 6.9 states/eV/cell

a b c (Å): 4.1152 4.1152 21.2842
angles (deg): 90.00 90.00 120.00
Space group R-3m (No. 166, hexagonal axes)
Symmetry-distinct sites (fractional):
K: 0.0000 0.0000 0.0000
Pm: 0.0000 0.0000 0.5000
F: 0.0000 0.0000 0.1428

---

What are the relative energies? In meV/atom: A 459; B 0.